DFT (PBE) results for a geometry-optimized GdHoBPb structure.

Summary:
- space group = P-6m2 (187)
- total energy (eV per atom) = -5.09

abc: 3.705 3.705 16.780
angles: 90.00 90.00 120.00
Positions (direct):
Gd 0.000 0.000 0.162
Gd 0.000 0.000 0.838
Ho 0.667 0.333 0.341
Ho 0.667 0.333 0.659
B 0.333 0.667 0.253
B 0.333 0.667 0.747
Pb 0.000 0.000 0.500
Pb 0.667 0.333 0.000



DFT (PBE) results for a geometry-optimized GdHo3B2Pb2 structure.

Summary:
- space group = P3m1 (156)
- total energy (eV per atom) = -5.09

abc: 3.695 3.695 16.703
angles: 90.00 90.00 120.00
Positions (direct):
Gd 0.000 0.000 0.000
Ho 0.000 0.000 0.677
Ho 0.667 0.333 0.180
Ho 0.667 0.333 0.501
B 0.333 0.667 0.092
B 0.333 0.667 0.589
Pb 0.000 0.000 0.340
Pb 0.667 0.333 0.837